# Rb4Mn3AgF12 PBE+U relaxed
# Total energy in eV per atom: -5.142
data_Rb4Mn3AgF12
_cell_length_a 8.6851
_cell_length_b 8.6851
_cell_length_c 8.6851
_cell_angle_alpha 90.00
_cell_angle_beta 90.00
_cell_angle_gamma 90.00
_symmetry_space_group_name_H-M 'I m -3 m'
_symmetry_Int_Tables_number 229
_symmetry_space_group_name_Hall '-I 4 2 3'
loop_
_atom_site_label
_atom_site_type_symbol
_atom_site_fract_x
_atom_site_fract_y
_atom_site_fract_z
Rb1 Rb 0.2500 0.2500 0.2500
Mn1 Mn 0.0000 0.0000 0.5000
Ag1 Ag 0.0000 0.0000 0.0000
F1 F 0.0000 0.0000 0.2689
F2 F 0.0000 0.2500 0.5000